KMn2Si (GGA-PBE, relaxed); energy above the most stable polymorph in this dataset = 717 meV/atom; E_tot = -5.20 eV per atom; uncorrected formation energy = 390 kJ/mol of formula units; space-group type = Pmmm (47); crystal system = orthorhombic
1.0
2.895 0.000 0.000
0.000 5.023 0.000
0.000 0.000 5.355
K Mn Si
1 2 1
direct
0.000 0.000 0.000
0.000 0.500 0.500
0.500 0.500 0.000
0.500 0.000 0.500